[1]
Compound: DyHo2P
Source: Alexandria
Functional: PBE
Structure: relaxed

Structure (POSCAR):
```
DyHo2P
1.0
1.857 1.072 10.088
-1.857 1.072 10.088
0.000 -2.144 10.088
Dy Ho P
1 2 1
direct
0.000 0.000 0.000 Dy
0.113 0.113 0.113 Ho
0.887 0.887 0.887 Ho
0.500 0.500 0.500 P
```

Output
- crystal system = trigonal
- ΔE_f (eV/f.u.) = -1.98
- ρ (g cm⁻³) = 7.213


[2]
Compound: PmPrY4
Source: Alexandria
Functional: PBE
Structure: relaxed

Structure (POSCAR):
```
PmPrY4
1.0
5.433 -3.136 0.000
5.433 3.136 0.000
-3.604 0.000 11.695
Pm Pr Y
2 2 8
direct
0.000 0.500 0.000 Pm
0.500 0.000 0.500 Pm
0.081 0.919 0.250 Pr
0.919 0.081 0.750 Pr
0.168 0.665 0.500 Y
0.250 0.417 0.750 Y
0.335 0.832 0.000 Y
0.417 0.250 0.250 Y
0.583 0.750 0.750 Y
0.665 0.168 0.000 Y
0.750 0.583 0.250 Y
0.832 0.335 0.500 Y
```

Output
- crystal system = monoclinic
- distance to the lowest polymorph of the same formula (kJ per mole of atoms) = 0.0
- ΔE_f (eV/f.u.) = 0.04
- ρ (g cm⁻³) = 5.346


[3]
Compound: Hf2NbSb4
Source: Alexandria
Functional: PBE
Structure: relaxed

Structure (POSCAR):
```
Hf2NbSb4
1.0
-2.661 2.661 7.067
2.661 -2.661 7.067
2.661 2.661 -7.067
Hf Nb Sb
2 1 4
direct
0.103 0.103 0.000 Hf
0.897 0.897 0.000 Hf
0.500 0.500 0.000 Nb
0.000 0.500 0.500 Sb
0.301 0.301 0.000 Sb
0.500 0.000 0.500 Sb
0.699 0.699 0.000 Sb
```

Output
- crystal system = tetragonal
- distance to the lowest polymorph of the same formula (kJ per mole of atoms) = 57.5
- formation energy from raw total energies (eV per atom) = 0.332
- ρ (g cm⁻³) = 7.770


[4]
Compound: TaTlCd
Source: Alexandria
Functional: PBE
Structure: relaxed

Structure (POSCAR):
```
TaTlCd
1.0
0.000 3.341 3.341
3.341 0.000 3.341
3.341 3.341 0.000
Ta Tl Cd
1 1 1
direct
0.000 0.000 0.000 Ta
0.750 0.750 0.750 Tl
0.500 0.500 0.500 Cd
```

Output
- crystal system = cubic
- distance to the lowest polymorph of the same formula (kJ per mole of atoms) = 66.6
- ΔE_f (eV/f.u.) = 3.46
- ρ (g cm⁻³) = 11.081


[5]
Compound: SrIn2Hg
Source: Alexandria
Functional: PBE
Structure: relaxed

Structure (POSCAR):
```
SrIn2Hg
1.0
3.931 0.000 0.000
0.000 3.931 0.000
0.000 0.000 7.576
Sr In Hg
1 2 1
direct
0.000 0.000 0.000 Sr
0.500 0.500 0.297 In
0.500 0.500 0.703 In
0.000 0.000 0.500 Hg
```

Output
- crystal system = tetragonal
- ΔE_f (eV/f.u.) = -0.95
- ρ (g cm⁻³) = 7.344


[6]
Compound: LiSbI2O
Source: Alexandria
Functional: PBE
Structure: relaxed

Structure (POSCAR):
```
LiSbI2O
1.0
6.180 0.000 0.000
0.000 6.180 0.000
0.000 0.000 4.139
Li Sb I O
1 1 2 1
direct
0.000 0.000 0.000 Li
0.500 0.500 0.500 Sb
0.000 0.500 0.500 I
0.500 0.000 0.500 I
0.500 0.500 0.000 O
```

Output
- crystal system = tetragonal
- distance to the lowest polymorph of the same formula (kJ per mole of atoms) = 0.0
- formation energy from raw total energies (eV per atom) = -0.610
- ρ (g cm⁻³) = 4.186